Material: Rb2HgMoF6
Method: DFT, PBE with a Hubbard U
State: optimized geometry

## Properties
Energy relative to the lowest polymorph listed for this composition   0.0000 eV per atom
N(E_F)   0.000 states/eV/atom
Crystal system   orthorhombic
Total magnetization   1.97 μB/f.u.
Uncorrected energy   -4.4739 eV/atom

a = 6.2132 Å, b = 9.4208 Å, c = 8.6942 Å
α = 90.00°, β = 90.00°, γ = 90.00°
Space group Pmmn (No. 59, origin choice 2)
One atom of each set of equivalent atoms:
1 Rb 0.2500 0.0193 0.1825 x4
2 Hg 0.2500 0.2500 0.6374 x2
3 Mo 0.2500 0.7500 0.8460 x2
4 F 0.0167 0.7500 0.6870 x4
5 F 0.0269 0.7500 0.0137 x4
6 F 0.2500 0.5392 0.8559 x4